Material: PmPuPb3
Method: DFT, PBE
State: optimized geometry

Cell lengths 5.928, 7.865, 7.865 Å; angles 120.00, 90.00, 90.00 degrees
Sites, in units of the cell vectors:
Pu  0.500  0.000  0.000
Pu  0.000  0.000  0.000
Pb  0.250  0.798  0.596
Pb  0.250  0.798  0.202
Pb  0.750  0.202  0.798
Pb  0.750  0.596  0.798
Pb  0.750  0.202  0.404
Pb  0.250  0.404  0.202
Pm  0.750  0.666  0.334
Pm  0.250  0.334  0.666

SG: Cmcm
formation energy from the elements: -0.0780 eV per atom
magnetic moment: 11.2 μB/cell